No. 1
This record from Alexandria describes an optimized crystal structure of TaMo7. The functional is PBEsol.

- SG: No. 10

Unit cell a=4.445 b=5.210 c=5.447 alpha=100.07 beta=90.00 gamma=90.00
Positions (direct):
1 Mo 0.000 0.253 0.374
2 Mo 0.500 0.497 0.248
3 Mo 0.000 0.751 0.126
4 Mo 0.500 0.000 0.000
5 Mo 0.000 0.249 0.874
6 Mo 0.500 0.503 0.752
7 Mo 0.000 0.747 0.626
8 Ta 0.500 0.000 0.500



No. 2
This record from Alexandria describes an optimized crystal structure of Ta3Mo2. The functional is PBEsol.

- SG: No. 69

Unit cell a=2.819 b=2.819 c=11.283 alpha=94.60 beta=94.60 gamma=110.97
Positions (direct):
1 Mo 0.599 0.599 0.198
2 Mo 0.401 0.401 0.802
3 Ta 0.000 0.000 0.000
4 Ta 0.803 0.803 0.606
5 Ta 0.197 0.197 0.394



No. 3
This record from Alexandria describes an optimized crystal structure of Ta3Mo2. The functional is PBEsol.

- SG: No. 166

Unit cell a=3.069 b=3.069 c=10.622 alpha=81.69 beta=81.69 gamma=60.00
Positions (direct):
1 Mo 0.601 0.601 0.198
2 Mo 0.399 0.399 0.802
3 Ta 0.000 0.000 0.000
4 Ta 0.797 0.797 0.608
5 Ta 0.203 0.203 0.392



No. 4
This record from Alexandria describes an optimized crystal structure of Ta2Mo. The functional is PBEsol.

- SG: No. 140

Unit cell a=5.153 b=5.229 c=5.229 alpha=75.95 beta=60.48 gamma=60.48
Positions (direct):
1 Mo 0.750 0.000 0.000
2 Mo 0.250 0.000 0.000
3 Ta 0.657 0.500 0.186
4 Ta 0.157 0.186 0.500
5 Ta 0.843 0.814 0.500
6 Ta 0.343 0.500 0.814



No. 5
This record from Alexandria describes an optimized crystal structure of Ta3Mo5. The functional is PBEsol.

- SG: No. 2

Unit cell a=2.770 b=6.880 c=6.931 alpha=80.82 beta=82.03 gamma=82.66
Positions (direct):
1 Mo 0.002 0.745 0.752
2 Mo 0.251 0.621 0.124
3 Mo 0.500 0.500 0.500
4 Mo 0.749 0.379 0.876
5 Mo 0.998 0.255 0.248
6 Ta 0.239 0.130 0.624
7 Ta 0.500 0.000 0.000
8 Ta 0.761 0.870 0.376



No. 6
This record from Alexandria describes an optimized crystal structure of Ta3Mo5. The functional is PBEsol.

- SG: No. 47

Unit cell a=3.179 b=4.470 c=9.029 alpha=90.00 beta=90.00 gamma=90.00
Positions (direct):
1 Mo 0.000 0.000 0.000
2 Mo 0.500 0.000 0.249
3 Mo 0.000 0.000 0.500
4 Mo 0.500 0.000 0.751
5 Mo 0.500 0.500 0.000
6 Ta 0.000 0.500 0.244
7 Ta 0.500 0.500 0.500
8 Ta 0.000 0.500 0.756



Number 1: relative energy among the computed polymorphs 2.1 kJ/mol of formula units, formation energy from the elements -0.060 eV/atom, size of the total moment 0.000 Bohr magnetons per cell. Number 2: relative energy among the computed polymorphs 25.2 kJ/mol of formula units, formation energy from the elements -0.083 eV/atom, size of the total moment 0.000 Bohr magnetons per cell. Number 3: relative energy among the computed polymorphs 183.8 kJ/mol of formula units, formation energy from the elements 0.246 eV/atom, size of the total moment 0.000 Bohr magnetons per cell. Number 4: relative energy among the computed polymorphs 150.1 kJ/mol of formula units, formation energy from the elements 0.372 eV/atom, size of the total moment 0.000 Bohr magnetons per cell. Number 5: relative energy among the computed polymorphs 54.0 kJ/mol of formula units, formation energy from the elements -0.094 eV/atom, size of the total moment 0.000 Bohr magnetons per cell. Number 6: relative energy among the computed polymorphs 35.9 kJ/mol of formula units, formation energy from the elements -0.118 eV/atom, size of the total moment 0.000 Bohr magnetons per cell.